1.
HfNb2B: single point on PBEsol structure, meta-GGA SCAN.

Calculated values
The value obtained for the formation energy is 2.254 eV/f.u. For the energy above the lowest structure with this stoichiometry, the calculation gives 410 meV per atom.

POSCAR file:
```
HfNb2B
1.0
0.000 3.135 3.135
3.135 0.000 3.135
3.135 3.135 0.000
Hf Nb B
1 2 1
direct
0.000 0.000 0.000
0.250 0.250 0.250
0.750 0.750 0.750
0.500 0.500 0.500
```

2.
Hf2NbB: single point on PBEsol structure, meta-GGA SCAN.

Calculated values
The value obtained for the formation energy is 1.085 eV/f.u.

POSCAR file:
```
Hf2NbB
1.0
-3.713 3.713 2.479
3.713 -3.713 2.479
3.713 3.713 -2.479
Hf Nb B
4 2 2
direct
0.052 0.625 0.927
0.375 0.302 0.427
0.698 0.125 0.073
0.875 0.948 0.573
0.250 0.750 0.500
0.500 0.500 0.000
0.000 0.000 0.000
0.750 0.250 0.500
```

3.
HfNb2BSe: single point on PBEsol structure, meta-GGA SCAN.

Calculated values
The value obtained for the uncorrected formation energy is 2122 meV per atom.

POSCAR file:
```
HfNb2BSe
1.0
4.929 0.000 0.000
0.000 4.929 0.000
0.000 0.000 4.790
Hf Nb B Se
1 2 1 1
direct
0.000 0.000 0.000
0.000 0.500 0.000
0.500 0.000 0.000
0.500 0.500 0.500
0.000 0.000 0.500
```

4.
Hf2Ni21B6: single point on PBEsol structure, meta-GGA SCAN.

Calculated values
The value obtained for the formation energy is -11.266 eV/f.u.

POSCAR file:
```
Hf2Ni21B6
1.0
0.000 5.221 5.221
5.221 0.000 5.221
5.221 5.221 0.000
Hf Ni B
2 21 6
direct
0.250 0.250 0.250
0.750 0.750 0.750
0.000 0.000 0.000
0.000 0.000 0.339
0.000 0.000 0.661
0.000 0.339 0.000
0.000 0.339 0.661
0.000 0.661 0.000
0.000 0.661 0.339
0.157 0.614 0.614
0.339 0.000 0.000
0.339 0.000 0.661
0.339 0.661 0.000
0.386 0.386 0.386
0.386 0.386 0.843
0.386 0.843 0.386
0.614 0.157 0.614
0.614 0.614 0.157
0.614 0.614 0.614
0.661 0.000 0.000
0.661 0.000 0.339
0.661 0.339 0.000
0.843 0.386 0.386
0.269 0.269 0.731
0.269 0.731 0.269
0.269 0.731 0.731
0.731 0.269 0.269
0.731 0.269 0.731
0.731 0.731 0.269
```

5.
Hf3Ni20B6: single point on PBEsol structure, meta-GGA SCAN.

Calculated values
The value obtained for the formation energy is -13.435 eV/f.u.

POSCAR file:
```
Hf3Ni20B6
1.0
0.000 5.265 5.265
5.265 0.000 5.265
5.265 5.265 0.000
Hf Ni B
3 20 6
direct
0.000 0.000 0.000
0.250 0.250 0.250
0.750 0.750 0.750
0.000 0.000 0.345
0.000 0.000 0.655
0.000 0.345 0.000
0.000 0.345 0.655
0.000 0.655 0.000
0.000 0.655 0.345
0.157 0.614 0.614
0.345 0.000 0.000
0.345 0.000 0.655
0.345 0.655 0.000
0.386 0.386 0.386
0.386 0.386 0.843
0.386 0.843 0.386
0.614 0.157 0.614
0.614 0.614 0.157
0.614 0.614 0.614
0.655 0.000 0.000
0.655 0.000 0.345
0.655 0.345 0.000
0.843 0.386 0.386
0.267 0.267 0.733
0.267 0.733 0.267
0.267 0.733 0.733
0.733 0.267 0.267
0.733 0.267 0.733
0.733 0.733 0.267
```

6.
HfNi5B2O10: single point on PBEsol structure, meta-GGA SCAN.

Calculated values
The value obtained for the uncorrected formation energy is -2109 meV per atom.

POSCAR file:
```
HfNi5B2O10
1.0
9.185 0.000 0.000
0.000 6.032 0.000
0.000 0.000 12.265
Hf Ni B O
4 20 8 40
direct
0.241 0.250 0.114
0.259 0.750 0.614
0.741 0.250 0.386
0.759 0.750 0.886
0.000 0.000 0.000
0.000 0.004 0.718
0.000 0.496 0.718
0.000 0.500 0.000
0.000 0.504 0.282
0.000 0.996 0.282
0.003 0.250 0.503
0.237 0.750 0.114
0.263 0.250 0.614
0.497 0.750 0.003
0.500 0.000 0.500
0.500 0.004 0.782
0.500 0.496 0.782
0.500 0.500 0.500
0.500 0.504 0.218
0.500 0.996 0.218
0.503 0.250 0.997
0.737 0.750 0.386
0.763 0.250 0.886
0.997 0.750 0.497
0.224 0.750 0.866
0.228 0.250 0.854
0.272 0.750 0.354
0.276 0.250 0.366
0.724 0.750 0.634
0.728 0.250 0.646
0.772 0.750 0.146
0.776 0.250 0.134
0.101 0.501 0.145
0.101 0.999 0.145
0.109 0.501 0.575
0.109 0.999 0.575
0.122 0.750 0.356
0.126 0.250 0.362
0.146 0.750 0.962
0.150 0.750 0.766
0.152 0.250 0.758
0.153 0.250 0.954
0.347 0.750 0.454
0.348 0.750 0.258
0.350 0.250 0.266
0.354 0.250 0.462
0.374 0.750 0.862
0.378 0.250 0.856
0.391 0.001 0.075
0.391 0.499 0.075
0.399 0.001 0.645
0.399 0.499 0.645
0.601 0.501 0.355
0.601 0.999 0.355
0.609 0.501 0.925
0.609 0.999 0.925
0.622 0.750 0.144
0.626 0.250 0.138
0.646 0.750 0.538
0.650 0.750 0.734
0.652 0.250 0.742
0.653 0.250 0.546
0.847 0.750 0.046
0.848 0.750 0.242
0.850 0.250 0.234
0.854 0.250 0.038
0.874 0.750 0.638
0.878 0.250 0.644
0.891 0.001 0.425
0.891 0.499 0.425
0.899 0.001 0.855
0.899 0.499 0.855
```

7.
Y2HfBO: single point on PBEsol structure, meta-GGA SCAN.

Calculated values
The value obtained for the uncorrected formation energy is 313 meV per atom.

POSCAR file:
```
Y2HfBO
1.0
5.630 0.000 0.000
0.000 5.630 0.000
0.000 0.000 3.861
Y Hf B O
2 1 1 1
direct
0.000 0.500 0.000
0.500 0.000 0.000
0.000 0.000 0.000
0.500 0.500 0.500
0.000 0.000 0.500
```

8.
Hf3BOs: single point on PBEsol structure, meta-GGA SCAN.

Calculated values
The value obtained for the formation energy is 5.710 eV/f.u.

POSCAR file:
```
Hf3BOs
1.0
4.908 0.000 0.000
0.000 4.908 0.000
0.000 0.000 4.908
Hf B Os
3 1 1
direct
0.000 0.000 0.500
0.000 0.500 0.000
0.500 0.000 0.000
0.500 0.500 0.500
0.000 0.000 0.000
```

9.
Hf2B2Os: single point on PBEsol structure, meta-GGA SCAN.

Calculated values
The value obtained for the formation energy is -4.630 eV/f.u.

POSCAR file:
```
Hf2B2Os
1.0
6.084 0.000 0.000
0.000 6.084 0.000
0.000 0.000 3.385
Hf B Os
4 4 2
direct
0.179 0.321 0.000
0.321 0.821 0.000
0.679 0.179 0.000
0.821 0.679 0.000
0.109 0.609 0.500
0.391 0.109 0.500
0.609 0.891 0.500
0.891 0.391 0.500
0.000 0.000 0.500
0.500 0.500 0.500
```

10.
HfBOsRu2: single point on PBEsol structure, meta-GGA SCAN.

Calculated values
The value obtained for the formation energy is 13.951 eV/f.u.

POSCAR file:
```
HfBOsRu2
1.0
4.637 0.000 0.000
0.000 4.637 0.000
0.000 0.000 4.775
Hf B Os Ru
1 1 1 2
direct
0.000 0.000 0.000
0.500 0.500 0.500
0.000 0.000 0.500
0.000 0.500 0.000
0.500 0.000 0.000
```

11.
HfB2PRh: single point on PBEsol structure, meta-GGA SCAN.

Calculated values
The value obtained for the formation energy is 7.969 eV/f.u.

POSCAR file:
```
HfB2PRh
1.0
4.218 0.000 0.000
0.000 4.218 0.000
0.000 0.000 4.766
Hf B P Rh
1 2 1 1
direct
0.000 0.000 0.000
0.000 0.500 0.000
0.500 0.000 0.000
0.000 0.000 0.500
0.500 0.500 0.500
```

12.
HfB2Pd: single point on PBEsol structure, meta-GGA SCAN.

Calculated values
The value obtained for the formation energy is 0.228 eV/f.u.

POSCAR file:
```
HfB2Pd
1.0
-1.904 1.904 7.276
1.904 -1.904 7.276
1.904 1.904 -7.276
Hf B Pd
2 4 2
direct
0.375 0.625 0.750
0.625 0.375 0.250
0.000 0.000 0.000
0.000 0.000 0.500
0.000 0.500 0.000
0.500 0.000 0.500
0.125 0.875 0.250
0.875 0.125 0.750
```

13.
HfBPd2: single point on PBEsol structure, meta-GGA SCAN.

Calculated values
The value obtained for the formation energy is 0.063 eV/f.u.

POSCAR file:
```
HfBPd2
1.0
-2.372 2.372 6.189
2.372 -2.372 6.189
2.372 2.372 -6.189
Hf B Pd
2 2 4
direct
0.000 0.000 0.000
0.750 0.250 0.500
0.250 0.750 0.500
0.500 0.500 0.000
0.234 0.625 0.109
0.375 0.484 0.609
0.516 0.125 0.891
0.875 0.766 0.391
```

14.
Hf3BPd: single point on PBEsol structure, meta-GGA SCAN.

Calculated values
The value obtained for the formation energy is 6.036 eV/f.u.

POSCAR file:
```
Hf3BPd
1.0
4.875 0.000 0.000
0.000 4.875 0.000
0.000 0.000 4.875
Hf B Pd
3 1 1
direct
0.000 0.000 0.500
0.000 0.500 0.000
0.500 0.000 0.000
0.500 0.500 0.500
0.000 0.000 0.000
```

15.
Hf3ReB: single point on PBEsol structure, meta-GGA SCAN.

Calculated values
The value obtained for the formation energy is 7.045 eV/f.u. For the energy above the lowest structure with this stoichiometry, the calculation gives 1369 meV per atom.

POSCAR file:
```
Hf3ReB
1.0
4.920 0.000 0.000
0.000 4.920 0.000
0.000 0.000 4.920
Hf Re B
3 1 1
direct
0.000 0.000 0.500
0.000 0.500 0.000
0.500 0.000 0.000
0.000 0.000 0.000
0.500 0.500 0.500
```

16.
Hf9Re4B: single point on PBEsol structure, meta-GGA SCAN.

Calculated values
The value obtained for the formation energy is -5.379 eV/f.u.

POSCAR file:
```
Hf9Re4B
1.0
8.350 0.000 0.000
-4.175 7.232 0.000
0.000 0.000 8.470
Hf Re B
18 8 2
direct
0.080 0.540 0.250
0.201 0.402 0.555
0.201 0.402 0.945
0.201 0.799 0.555
0.201 0.799 0.945
0.402 0.201 0.055
0.402 0.201 0.445
0.460 0.540 0.250
0.460 0.920 0.250
0.540 0.080 0.750
0.540 0.460 0.750
0.598 0.799 0.555
0.598 0.799 0.945
0.799 0.201 0.055
0.799 0.201 0.445
0.799 0.598 0.055
0.799 0.598 0.445
0.920 0.460 0.750
0.000 0.000 0.000
0.000 0.000 0.500
0.111 0.221 0.250
0.111 0.889 0.250
0.221 0.111 0.750
0.779 0.889 0.250
0.889 0.111 0.750
0.889 0.779 0.750
0.333 0.667 0.750
0.667 0.333 0.250
```

17.
HfReB3: single point on PBEsol structure, meta-GGA SCAN.

Calculated values
The value obtained for the formation energy is 11.204 eV/f.u.

POSCAR file:
```
HfReB3
1.0
4.050 0.000 0.000
0.000 4.050 0.000
0.000 0.000 4.050
Hf Re B
1 1 3
direct
0.000 0.000 0.000
0.500 0.500 0.500
0.000 0.000 0.500
0.000 0.500 0.000
0.500 0.000 0.000
```

18.
Hf3ReB: single point on PBEsol structure, meta-GGA SCAN.

Calculated values
The value obtained for the formation energy is 0.200 eV/f.u. For the energy above the lowest structure with this stoichiometry, the calculation gives 0 meV per atom.

POSCAR file:
```
Hf3ReB
1.0
4.444 0.000 0.000
0.000 4.444 0.000
0.000 0.000 4.444
Hf Re B
3 1 1
direct
0.000 0.000 0.500
0.000 0.500 0.000
0.500 0.000 0.000
0.500 0.500 0.500
0.000 0.000 0.000
```

19.
HfReSiB2: single point on PBEsol structure, meta-GGA SCAN.

Calculated values
The value obtained for the uncorrected formation energy is 980 meV per atom.

POSCAR file:
```
HfReSiB2
1.0
4.040 0.000 0.000
0.000 4.040 0.000
0.000 0.000 5.212
Hf Re Si B
1 1 1 2
direct
0.000 0.000 0.000
0.000 0.000 0.500
0.500 0.500 0.000
0.000 0.500 0.500
0.500 0.000 0.500
```

20.
HfZrB2S: single point on PBEsol structure, meta-GGA SCAN.

Calculated values
The value obtained for the uncorrected formation energy is 1562 meV per atom.

POSCAR file:
```
HfZrB2S
1.0
4.102 0.000 0.000
0.000 4.102 0.000
0.000 0.000 5.840
Hf Zr B S
1 1 2 1
direct
0.000 0.000 0.000
0.000 0.000 0.500
0.000 0.500 0.500
0.500 0.000 0.500
0.500 0.500 0.000
```